Material: AcPrHoAg
Method: DFT, GGA-PBE
State: relaxed

a = 5.6328 Å, b = 5.6328 Å, c = 5.6328 Å
α = 60.00°, β = 60.00°, γ = 60.00°
Closest atoms and distances in Å follow each position.
Atoms (fractional coordinates):
Pr (0.0000, 0.0000, 0.0000)  4 Ac 3.45, 4 Ag 3.45
Ac (0.7500, 0.7500, 0.7500)  4 Ho 3.45, 4 Pr 3.45
Ho (0.5000, 0.5000, 0.5000)  4 Ac 3.45, 4 Ag 3.45
Ag (0.2500, 0.2500, 0.2500)  4 Ho 3.45, 4 Pr 3.45

Summary:
Magnetization in μB per formula unit: 0.00
D(E_F) in states/eV/f.u.: 6.9
Calculated formation energy in eV per atom: 0.174



Material: AcHoAgPt
Method: DFT, GGA-PBE
State: relaxed

a = 5.2515 Å, b = 5.2515 Å, c = 5.2515 Å
α = 60.00°, β = 60.00°, γ = 60.00°
Closest atoms and distances in Å follow each position.
Atoms (fractional coordinates):
Ag (0.0000, 0.0000, 0.0000)  4 Ho 3.22, 4 Ac 3.22
Ac (0.2500, 0.2500, 0.2500)  4 Pt 3.22, 4 Ag 3.22
Ho (0.7500, 0.7500, 0.7500)  4 Pt 3.22, 4 Ag 3.22
Pt (0.5000, 0.5000, 0.5000)  4 Ac 3.22, 4 Ho 3.22

Summary:
Magnetization in μB per formula unit: 0.00
D(E_F) in states/eV/f.u.: 3.0
Calculated formation energy in eV per atom: -0.641



Material: AcHoAgRh
Method: DFT, GGA-PBE
State: relaxed

a = 5.2071 Å, b = 5.2071 Å, c = 5.2071 Å
α = 60.00°, β = 60.00°, γ = 60.00°
Closest atoms and distances in Å follow each position.
Atoms (fractional coordinates):
Ac (0.5000, 0.5000, 0.5000)  4 Ag 3.19, 4 Rh 3.19
Rh (0.7500, 0.7500, 0.7500)  4 Ho 3.19, 4 Ac 3.19
Ho (0.0000, 0.0000, 0.0000)  4 Rh 3.19, 4 Ag 3.19
Ag (0.2500, 0.2500, 0.2500)  4 Ho 3.19, 4 Ac 3.19

Summary:
Magnetization in μB per formula unit: 0.00
D(E_F) in states/eV/f.u.: 3.6
Calculated formation energy in eV per atom: -0.414



Material: AcHoAgRu
Method: DFT, GGA-PBE
State: relaxed

a = 5.1706 Å, b = 5.1706 Å, c = 5.1706 Å
α = 60.00°, β = 60.00°, γ = 60.00°
Closest atoms and distances in Å follow each position.
Atoms (fractional coordinates):
Ru (0.7500, 0.7500, 0.7500)  4 Ho 3.17, 4 Ac 3.17
Ac (0.0000, 0.0000, 0.0000)  4 Ag 3.17, 4 Ru 3.17
Ho (0.5000, 0.5000, 0.5000)  4 Ru 3.17, 4 Ag 3.17
Ag (0.2500, 0.2500, 0.2500)  4 Ac 3.17, 4 Ho 3.17

Summary:
Magnetization in μB per formula unit: 0.00
D(E_F) in states/eV/f.u.: 3.3
Calculated formation energy in eV per atom: -0.161



Material: AcHo2AgS5
Method: DFT, GGA-PBE
State: relaxed

a = 7.5702 Å, b = 7.5702 Å, c = 8.7720 Å
α = 115.56°, β = 115.56°, γ = 90.00°
Closest atoms and distances in Å follow each position.
Atoms (fractional coordinates):
Ac (0.2500, 0.2500, 0.5000)  10 S 3.28-3.47
Ac (0.7500, 0.7500, 0.5000)  10 S 3.28-3.47
Ho (0.1588, 0.3412, 0.0000)  4 S 2.61-2.85
Ho (0.6588, 0.1588, 0.0000)  4 S 2.61-2.85
Ho (0.3412, 0.8412, 0.0000)  4 S 2.61-2.85
Ho (0.8412, 0.6588, 0.0000)  4 S 2.61-2.85
Ag (0.2500, 0.7500, 0.5000)  4 S 2.43
Ag (0.7500, 0.2500, 0.5000)  4 S 2.43
S (0.9648, 0.4648, 0.2609)  1 Ag 2.43, 1 Ho 2.61
S (0.7040, 0.2040, 0.7391)  1 Ag 2.43, 1 Ho 2.61
S (0.0352, 0.5352, 0.7391)  1 Ag 2.43, 1 Ho 2.61
S (0.2040, 0.0352, 0.7391)  1 Ag 2.43, 1 Ho 2.61
S (0.5352, 0.7040, 0.7391)  1 Ag 2.43, 1 Ho 2.61
S (0.7960, 0.9648, 0.2609)  1 Ag 2.43, 1 Ho 2.61
S (0.4648, 0.2960, 0.2609)  1 Ag 2.43, 1 Ho 2.61
S (0.2960, 0.7960, 0.2609)  1 Ag 2.43, 1 Ho 2.61
S (0.5000, 0.5000, 0.0000)  4 Ho 2.85
S (0.0000, 0.0000, 0.0000)  4 Ho 2.85

Summary:
Magnetization in μB per formula unit: 0.00
E_form (uncorrected) in eV per atom: -1.66



Material: AcHoSiAg
Method: DFT, GGA-PBE
State: relaxed

a = 5.2925 Å, b = 5.2925 Å, c = 5.2925 Å
α = 60.00°, β = 60.00°, γ = 60.00°
Closest atoms and distances in Å follow each position.
Atoms (fractional coordinates):
Ac (0.7500, 0.7500, 0.7500)  4 Si 3.24, 4 Ag 3.24
Si (0.5000, 0.5000, 0.5000)  4 Ac 3.24, 4 Ho 3.24
Ho (0.2500, 0.2500, 0.2500)  4 Si 3.24, 4 Ag 3.24
Ag (0.0000, 0.0000, 0.0000)  4 Ac 3.24, 4 Ho 3.24

Summary:
Magnetization in μB per formula unit: 0.00
E_form (uncorrected) in eV per atom: -0.32
D(E_F) in states/eV/f.u.: 3.7



Material: AcHo2Ag2Sn2
Method: DFT, GGA-PBE
State: relaxed

a = 4.9248 Å, b = 4.9248 Å, c = 9.4828 Å
α = 74.95°, β = 74.95°, γ = 60.00°
Closest atoms and distances in Å follow each position.
Atoms (fractional coordinates):
Ac (0.0000, 0.0000, 0.0000)  6 Sn 3.50, 2 Ho 3.68
Ho (0.1357, 0.1357, 0.5929)  3 Ag 2.93, 3 Sn 3.28
Ho (0.8643, 0.8643, 0.4071)  3 Ag 2.93, 3 Sn 3.28
Ag (0.5572, 0.5572, 0.3284)  3 Ho 2.93, 3 Sn 2.99, 1 Ag 3.11
Ag (0.4428, 0.4428, 0.6716)  3 Ho 2.93, 3 Sn 2.99, 1 Ag 3.11
Sn (0.7420, 0.7420, 0.7741)  3 Ag 2.99, 4 Ho 3.28-3.32
Sn (0.2580, 0.2580, 0.2259)  3 Ag 2.99, 4 Ho 3.28-3.32

Summary:
Magnetization in μB per formula unit: 0.00
D(E_F) in states/eV/f.u.: 3.8
Calculated formation energy in eV per atom: -0.469



Material: AcHoAg2Sn2
Method: DFT, GGA-PBE
State: relaxed

a = 4.8173 Å, b = 4.8173 Å, c = 7.9174 Å
α = 90.00°, β = 90.00°, γ = 120.00°
Closest atoms and distances in Å follow each position.
Atoms (fractional coordinates):
Ac (0.0000, 0.0000, 0.0000)  6 Sn 3.49, 6 Ag 3.73
Ho (0.0000, 0.0000, 0.5000)  6 Ag 3.14, 6 Sn 3.34
Ag (0.6667, 0.3333, 0.3148)  3 Sn 2.81
Ag (0.3333, 0.6667, 0.6852)  3 Sn 2.81
Sn (0.6667, 0.3333, 0.7327)  3 Ag 2.81
Sn (0.3333, 0.6667, 0.2673)  3 Ag 2.81

Summary:
Magnetization in μB per formula unit: 0.00
D(E_F) in states/eV/f.u.: 3.1
Calculated formation energy in eV per atom: -0.584